SrPr2O4 (GGA-PBE, optimized geometry); offset from the most stable computed form = 9 meV/atom; magnetization = 0.00 μB per formula unit
1.0
10.114 0.000 0.000
0.000 12.305 0.000
0.000 0.000 3.618
O Sr Pr
16 4 8
Direct
0.009 0.285 0.756
0.353 0.990 0.756
0.647 0.010 0.256
0.725 0.308 0.258
0.225 0.192 0.258
0.563 0.585 0.758
0.509 0.215 0.756
0.491 0.785 0.256
0.775 0.808 0.758
0.437 0.415 0.258
0.275 0.692 0.758
0.147 0.490 0.256
0.937 0.085 0.258
0.063 0.915 0.758
0.991 0.715 0.256
0.853 0.510 0.756
0.759 0.148 0.755
0.241 0.852 0.255
0.741 0.648 0.255
0.259 0.352 0.755
0.063 0.618 0.756
0.899 0.894 0.258
0.563 0.882 0.756
0.101 0.106 0.758
0.437 0.118 0.256
0.399 0.606 0.258
0.601 0.394 0.758
0.937 0.382 0.256

***

HgBi2F3 | GGA-PBE | optimized geometry

```
HgBi2F3
1.0
3.727 0.000 0.000
0.000 3.727 0.000
0.000 0.000 8.171
F Bi Hg
3 2 1
Direct
0.500 0.500 0.000
0.500 0.000 0.573
0.000 0.500 0.427
0.000 0.500 0.711
0.500 0.000 0.289
0.000 0.000 0.000
```

***

AsAuSO (GGA-PBE, optimized geometry); offset from the most stable computed form = 0 meV/atom
1.0
6.363 0.000 -0.082
0.000 4.828 0.000
-0.639 0.000 11.630
S Au As O
4 4 4 4
Direct
0.627 0.681 0.300
0.223 0.132 0.308
0.777 0.632 0.692
0.373 0.181 0.700
0.059 0.929 0.688
0.351 0.138 0.500
0.941 0.429 0.312
0.649 0.638 0.500
0.534 0.827 0.813
0.466 0.327 0.187
0.955 0.208 0.903
0.045 0.708 0.097
0.890 0.439 0.023
0.694 0.046 0.908
0.306 0.546 0.092
0.110 0.939 0.977

***

Ho2Sc2BrNCl4 (GGA-PBE, optimized geometry); magnetization = 0.00 μB per formula unit
1.0
8.213 -1.784 0.000
8.213 1.784 0.000
-1.861 0.000 7.720
Cl Sc Br N Ho
4 2 1 1 2
Direct
0.833 0.833 0.689
0.167 0.167 0.311
0.829 0.829 0.146
0.171 0.171 0.854
0.363 0.363 0.931
0.637 0.637 0.069
0.500 0.500 0.500
0.500 0.500 0.000
0.001 0.001 0.801
0.999 0.999 0.199

***

Number 1: raw total energy -0.277 hartree per atom. Number 2: raw total energy -0.128 hartree per atom. Number 3: raw total energy -0.175 hartree per atom. Number 4: raw total energy -0.210 hartree per atom.